V3BPt after structural relaxation. Source: the Alexandria database, functional PBE-GGA.

Summary:
- ΔH_f (0 K) (kJ per mole of atoms) = -23
- total magnetization (Bohr magnetons per cell) = 0.006
- energy (eV/f.u.) = -41.3
- energy above the lowest structure with this stoichiometry (eV per formula unit) = 0.20
- symmetry = No. 221

a b c (Å): 4.018 4.018 4.018
angles (deg): 90.00 90.00 90.00
Element x y z (fractional)
V 0.000 0.000 0.500
V 0.000 0.500 0.000
V 0.500 0.000 0.000
B 0.000 0.000 0.000
Pt 0.500 0.500 0.500

---

BPt2W after structural relaxation. Source: the Alexandria database, functional PBE-GGA.

Summary:
- ΔH_f (0 K) (kJ per mole of atoms) = 46
- total magnetization (Bohr magnetons per cell) = 0.000
- energy (eV/f.u.) = -29.8
- symmetry = No. 122

a b c (Å): 6.473 6.473 6.473
angles (deg): 132.88 132.88 68.84
Element x y z (fractional)
B 0.000 0.000 0.000
B 0.750 0.250 0.500
Pt 0.057 0.625 0.932
Pt 0.375 0.307 0.432
Pt 0.693 0.125 0.068
Pt 0.875 0.943 0.568
W 0.250 0.750 0.500
W 0.500 0.500 0.000

---

B2PtW after structural relaxation. Source: the Alexandria database, functional PBE-GGA.

Summary:
- ΔH_f (0 K) (kJ per mole of atoms) = 57
- total magnetization (Bohr magnetons per cell) = 0.000
- energy (eV/f.u.) = -30.0
- energy above the lowest structure with this stoichiometry (eV per formula unit) = 0.42
- symmetry = No. 122

a b c (Å): 6.053 6.053 6.053
angles (deg): 133.90 133.90 67.24
Element x y z (fractional)
B 0.110 0.625 0.985
B 0.375 0.360 0.485
B 0.640 0.125 0.015
B 0.875 0.890 0.515
Pt 0.000 0.000 0.000
Pt 0.750 0.250 0.500
W 0.250 0.750 0.500
W 0.500 0.500 0.000

---

BPt3W after structural relaxation. Source: the Alexandria database, functional PBE-GGA.

Summary:
- ΔH_f (0 K) (kJ per mole of atoms) = 40
- total magnetization (Bohr magnetons per cell) = 2.799
- energy (eV/f.u.) = -35.7
- energy above the lowest structure with this stoichiometry (eV per formula unit) = 0.00
- symmetry = No. 221

a b c (Å): 4.221 4.221 4.221
angles (deg): 90.00 90.00 90.00
Element x y z (fractional)
B 0.000 0.000 0.000
Pt 0.000 0.000 0.500
Pt 0.000 0.500 0.000
Pt 0.500 0.000 0.000
W 0.500 0.500 0.500